P | ## BaY2Te2 (PBE)

Data for a relaxed structure of BaY2Te2.

Values from the calculation:
Mass density = 6.12 g/cm3
Density of states at the Fermi level = 0.4548 states/eV per atom

Cell lengths 8.8311, 8.8311, 3.9708 Å; angles 90.00, 90.00, 90.00 degrees
Closest atoms and distances in Å follow each position.
Fractional positions:
Ba 0.0000 0.0000 0.0000  4 Te 3.41
Ba 0.5000 0.5000 0.0000  4 Te 3.41
Y 0.1489 0.3511 0.5000  6 Te 3.24-3.30
Y 0.3511 0.8511 0.5000  6 Te 3.24-3.30
Y 0.6489 0.1489 0.5000  6 Te 3.24-3.30
Y 0.8511 0.6489 0.5000  6 Te 3.24-3.30
Te 0.1404 0.6404 0.0000  6 Y 3.24-3.30, 2 Ba 3.41, 1 Te 3.51
Te 0.3596 0.1404 0.0000  6 Y 3.24-3.30, 2 Ba 3.41, 1 Te 3.51
Te 0.6404 0.8596 0.0000  6 Y 3.24-3.30, 2 Ba 3.41, 1 Te 3.51
Te 0.8596 0.3596 0.0000  6 Y 3.24-3.30, 2 Ba 3.41, 1 Te 3.51



Q | ## BaY2Te2 (PBE)

Data for a relaxed structure of BaY2Te2.

Values from the calculation:
Mass density = 5.54 g/cm3
Density of states at the Fermi level = 0.7722 states/eV per atom

Cell lengths 8.4740, 8.4740, 8.4740 Å; angles 147.92, 147.92, 46.00 degrees
Closest atoms and distances in Å follow each position.
Fractional positions:
Ba 0.0000 0.0000 0.0000  8 Te 3.77
Y 0.2500 0.7500 0.5000  4 Te 3.14, 4 Y 3.31
Y 0.7500 0.2500 0.5000  4 Te 3.14, 4 Y 3.31
Te 0.3842 0.3842 0.0000  4 Y 3.14
Te 0.6158 0.6158 0.0000  4 Y 3.14



Stability summary: most stable Q, least stable P.



P | ## BaZnTe (PBE)

Data for a relaxed structure of BaZnTe.

Values from the calculation:
Mass density = 5.27 g/cm3

Cell lengths 4.9212, 4.9212, 4.9624 Å; angles 90.00, 90.00, 120.00 degrees
Closest atoms and distances in Å follow each position.
Fractional positions:
Ba 0.0000 0.0000 0.0000  3 Zn 3.28, 3 Te 3.58
Zn 0.3333 0.6667 0.6683  3 Te 3.06, 3 Ba 3.28
Te 0.6667 0.3333 0.4401  3 Zn 3.06



Q | ## BaZnTe (PBE)

Data for a relaxed structure of BaZnTe.

Values from the calculation:
Mass density = 5.09 g/cm3

Cell lengths 4.8415, 4.8415, 4.8705 Å; angles 103.72, 103.72, 85.57 degrees
Closest atoms and distances in Å follow each position.
Fractional positions:
Ba 0.0000 0.0000 0.0000  4 Zn 3.33-3.70, 4 Te 3.50-3.60
Zn 0.6537 0.6537 0.3493  2 Te 2.94-3.16
Te 0.3820 0.3820 0.6930  2 Zn 2.94-3.16



R | ## BaZnTe (PBE)

Data for a relaxed structure of BaZnTe.

Values from the calculation:
Mass density = 5.06 g/cm3
Density of states at the Fermi level = 0.1141 states/eV per atom

Cell lengths 5.3514, 5.3514, 5.3514 Å; angles 60.00, 60.00, 60.00 degrees
Closest atoms and distances in Å follow each position.
Fractional positions:
Ba 0.0000 0.0000 0.0000  4 Zn 3.28
Zn 0.7500 0.7500 0.7500  4 Ba 3.28, 4 Te 3.28
Te 0.5000 0.5000 0.5000  4 Zn 3.28



Stability summary: most stable P, least stable R.



P | ## Ba2ZnTe (PBE)

Data for a relaxed structure of Ba2ZnTe.

Values from the calculation:
Mass density = 4.37 g/cm3
Density of states at the Fermi level = 0.5137 states/eV per atom

Cell lengths 7.7285, 7.7285, 7.7285 Å; angles 108.77, 108.77, 110.88 degrees
Closest atoms and distances in Å follow each position.
Fractional positions:
Ba 0.1195 0.1250 0.4945  2 Zn 3.33, 2 Te 3.40
Ba 0.3750 0.8805 0.0055  2 Zn 3.33, 2 Te 3.40
Ba 0.6305 0.6250 0.5055  2 Zn 3.33, 2 Te 3.40
Ba 0.8750 0.3695 0.9945  2 Zn 3.33, 2 Te 3.40
Zn 0.0000 0.0000 0.0000  4 Ba 3.33
Zn 0.7500 0.2500 0.5000  4 Ba 3.33
Te 0.2500 0.7500 0.5000  4 Ba 3.40
Te 0.5000 0.5000 0.0000  4 Ba 3.40



Q | ## Ba2ZnTe (PBE)

Data for a relaxed structure of Ba2ZnTe.

Values from the calculation:
Mass density = 4.44 g/cm3
Density of states at the Fermi level = 1.0317 states/eV per atom

Cell lengths 9.0373, 9.0373, 9.0373 Å; angles 31.12, 31.12, 31.12 degrees
Closest atoms and distances in Å follow each position.
Fractional positions:
Ba 0.2474 0.2474 0.2474  3 Te 3.49, 3 Zn 3.57
Ba 0.7526 0.7526 0.7526  3 Te 3.49, 3 Zn 3.57
Zn 0.0000 0.0000 0.0000  6 Ba 3.57
Te 0.5000 0.5000 0.5000  6 Ba 3.49



Stability summary: most stable Q, least stable P.



P | ## Ba2ZnTe (PBE)

Data for a relaxed structure of Ba2ZnTe.

Values from the calculation:
Mass density = 4.91 g/cm3
Density of states at the Fermi level = 0.9723 states/eV per atom

Cell lengths 5.1725, 6.8719, 6.8719 Å; angles 40.36, 90.00, 90.00 degrees
Closest atoms and distances in Å follow each position.
Fractional positions:
Ba 0.0000 0.0000 0.0000  1 Zn 3.41, 4 Te 3.55
Ba 0.5000 0.2648 0.2648  4 Zn 3.53, 3 Te 3.61-3.70
Zn 0.0000 0.7360 0.7360  5 Ba 3.41-3.53, 2 Te 3.58
Te 0.5000 0.5443 0.5443  7 Ba 3.55-3.70, 2 Zn 3.58



Q | ## Ba2ZnTe (PBE)

Data for a relaxed structure of Ba2ZnTe.

Values from the calculation:
Mass density = 5.31 g/cm3
Density of states at the Fermi level = 1.1342 states/eV per atom

Cell lengths 5.9143, 5.9143, 5.9143 Å; angles 60.00, 60.00, 60.00 degrees
Closest atoms and distances in Å follow each position.
Fractional positions:
Ba 0.2500 0.2500 0.2500  4 Te 3.62, 4 Zn 3.62
Ba 0.7500 0.7500 0.7500  4 Zn 3.62, 4 Te 3.62
Zn 0.0000 0.0000 0.0000  8 Ba 3.62
Te 0.5000 0.5000 0.5000  8 Ba 3.62



Stability summary: most stable P, least stable Q.



P | ## Ba2Zn2Te (PBE)

Data for a relaxed structure of Ba2Zn2Te.

Values from the calculation:
Mass density = 5.21 g/cm3
Density of states at the Fermi level = 0.5253 states/eV per atom

Cell lengths 8.6635, 8.6635, 4.5275 Å; angles 90.00, 90.00, 90.00 degrees
Closest atoms and distances in Å follow each position.
Fractional positions:
Ba 0.1907 0.3093 0.0000  6 Zn 3.38-3.50
Ba 0.3093 0.8093 0.0000  6 Zn 3.38-3.50
Ba 0.6907 0.1907 0.0000  6 Zn 3.38-3.50
Ba 0.8093 0.6907 0.0000  6 Zn 3.38-3.50
Zn 0.1048 0.6048 0.5000  1 Zn 2.57
Zn 0.3952 0.1048 0.5000  1 Zn 2.57
Zn 0.6048 0.8952 0.5000  1 Zn 2.57
Zn 0.8952 0.3952 0.5000  1 Zn 2.57
Te 0.0000 0.0000 0.5000  4 Zn 3.54, 8 Ba 3.88
Te 0.5000 0.5000 0.5000  4 Zn 3.54, 8 Ba 3.88



Q | ## Ba2Zn2Te (PBE)

Data for a relaxed structure of Ba2Zn2Te.

Values from the calculation:
Mass density = 4.84 g/cm3
Density of states at the Fermi level = 1.2248 states/eV per atom

Cell lengths 6.4036, 6.4036, 6.4036 Å; angles 121.01, 121.01, 88.27 degrees
Closest atoms and distances in Å follow each position.
Fractional positions:
Ba 0.2500 0.7500 0.5000  4 Zn 3.33
Ba 0.7500 0.2500 0.5000  4 Zn 3.33
Zn 0.1333 0.1333 0.0000  1 Zn 2.45
Zn 0.8667 0.8667 0.0000  1 Zn 2.45
Te 0.5000 0.5000 0.0000  2 Zn 3.37



Stability summary: most stable P, least stable Q.



P | ## BaZn3Te (PBE)

Data for a relaxed structure of BaZn3Te.

Values from the calculation:
Mass density = 3.42 g/cm3
Density of states at the Fermi level = 0.1749 states/eV per atom

Cell lengths 6.0706, 6.0706, 6.0706 Å; angles 90.00, 90.00, 90.00 degrees
Closest atoms and distances in Å follow each position.
Fractional positions:
Ba 0.0000 0.0000 0.0000  6 Zn 3.04
Zn 0.0000 0.0000 0.5000  2 Ba 3.04
Zn 0.0000 0.5000 0.0000  2 Ba 3.04
Zn 0.5000 0.0000 0.0000  2 Ba 3.04
Te 0.5000 0.5000 0.5000  12 Zn 4.29



Q | ## BaZn3Te (PBE)

Data for a relaxed structure of BaZn3Te.

Values from the calculation:
Mass density = 4.73 g/cm3
Density of states at the Fermi level = 0.9112 states/eV per atom

Cell lengths 5.4484, 5.4484, 5.4484 Å; angles 90.00, 90.00, 90.00 degrees
Closest atoms and distances in Å follow each position.
Fractional positions:
Ba 0.0000 0.0000 0.0000  12 Zn 3.85
Zn 0.0000 0.5000 0.5000  2 Te 2.72
Zn 0.5000 0.0000 0.5000  2 Te 2.72
Zn 0.5000 0.5000 0.0000  2 Te 2.72
Te 0.5000 0.5000 0.5000  6 Zn 2.72



Stability summary: most stable Q, least stable P.



P | ## Ba2ZrTe2 (PBE)

Data for a relaxed structure of Ba2ZrTe2.

Values from the calculation:
Mass density = 5.75 g/cm3
Density of states at the Fermi level = 1.0029 states/eV per atom

Cell lengths 8.5160, 8.5160, 4.9442 Å; angles 90.00, 90.00, 90.00 degrees
Closest atoms and distances in Å follow each position.
Fractional positions:
Ba 0.1535 0.3465 0.0000  6 Te 3.33-3.65, 1 Ba 3.70
Ba 0.3465 0.8465 0.0000  6 Te 3.33-3.65, 1 Ba 3.70
Ba 0.6535 0.1535 0.0000  6 Te 3.33-3.65, 1 Ba 3.70
Ba 0.8465 0.6535 0.0000  6 Te 3.33-3.65, 1 Ba 3.70
Zr 0.0000 0.0000 0.5000  4 Te 3.19
Zr 0.5000 0.5000 0.5000  4 Te 3.19
Te 0.1612 0.6612 0.5000  2 Zr 3.19, 2 Ba 3.33
Te 0.3388 0.1612 0.5000  2 Zr 3.19, 2 Ba 3.33
Te 0.6612 0.8388 0.5000  2 Zr 3.19, 2 Ba 3.33
Te 0.8388 0.3388 0.5000  2 Zr 3.19, 2 Ba 3.33



Q | ## Ba2ZrTe2 (PBE)

Data for a relaxed structure of Ba2ZrTe2.

Values from the calculation:
Mass density = 5.88 g/cm3
Density of states at the Fermi level = 0.9548 states/eV per atom

Cell lengths 8.7617, 8.7617, 8.7617 Å; angles 149.23, 149.23, 44.07 degrees
Closest atoms and distances in Å follow each position.
Fractional positions:
Ba 0.2500 0.7500 0.5000  4 Ba 3.29, 4 Te 3.41
Ba 0.7500 0.2500 0.5000  4 Ba 3.29, 4 Te 3.41
Zr 0.0000 0.0000 0.0000  8 Te 3.64
Te 0.4033 0.4033 0.0000  1 Te 3.14, 4 Ba 3.41
Te 0.5967 0.5967 0.0000  1 Te 3.14, 4 Ba 3.41



Stability summary: most stable P, least stable Q.



P | ## BaZrTe4 (PBE)

Data for a relaxed structure of BaZrTe4.

Values from the calculation:
Mass density = 6.30 g/cm3
Density of states at the Fermi level = 1.2773 states/eV per atom

Cell lengths 6.5062, 6.5062, 6.5062 Å; angles 60.00, 60.00, 60.00 degrees
Closest atoms and distances in Å follow each position.
Fractional positions:
Ba 0.0000 0.0000 0.0000  12 Te 3.82, 4 Zr 3.98
Zr 0.2500 0.2500 0.2500  12 Te 3.81, 4 Ba 3.98
Te 0.1284 0.6239 0.6239  6 Te 3.22-3.28
Te 0.6239 0.1284 0.6239  6 Te 3.22-3.28
Te 0.6239 0.6239 0.1284  6 Te 3.22-3.28
Te 0.6239 0.6239 0.6239  6 Te 3.22-3.28



Q | ## BaZrTe4 (PBE)

Data for a relaxed structure of BaZrTe4.

Values from the calculation:
Mass density = 5.87 g/cm3
Density of states at the Fermi level = 0.5742 states/eV per atom

Cell lengths 8.3366, 8.3366, 7.4325 Å; angles 111.79, 111.79, 99.08 degrees
Closest atoms and distances in Å follow each position.
Fractional positions:
Ba 0.1302 0.8698 0.7500  8 Te 3.45-3.55
Ba 0.8698 0.1302 0.2500  8 Te 3.45-3.55
Zr 0.4953 0.5047 0.7500  8 Te 3.02-3.15
Zr 0.5047 0.4953 0.2500  8 Te 3.02-3.15
Te 0.1796 0.3168 0.7976  2 Zr 3.02-3.05, 1 Te 3.13
Te 0.1897 0.5220 0.3579  2 Zr 3.03-3.15, 1 Te 3.13
Te 0.3168 0.1796 0.2976  2 Zr 3.02-3.05, 1 Te 3.13
Te 0.4780 0.8103 0.1421  2 Zr 3.03-3.15, 1 Te 3.13
Te 0.5220 0.1897 0.8579  2 Zr 3.03-3.15, 1 Te 3.13
Te 0.6832 0.8204 0.7024  2 Zr 3.02-3.05, 1 Te 3.13
Te 0.8103 0.4780 0.6421  2 Zr 3.03-3.15, 1 Te 3.13
Te 0.8204 0.6832 0.2024  2 Zr 3.02-3.05, 1 Te 3.13



Stability summary: most stable Q, least stable P.



P | ## Ba2Zr2Te (PBE)

Data for a relaxed structure of Ba2Zr2Te.

Values from the calculation:
Mass density = 5.56 g/cm3
Density of states at the Fermi level = 1.4345 states/eV per atom

Cell lengths 8.7266, 8.7266, 8.7266 Å; angles 149.12, 149.12, 44.24 degrees
Closest atoms and distances in Å follow each position.
Fractional positions:
Ba 0.2500 0.7500 0.5000  4 Ba 3.29
Ba 0.7500 0.2500 0.5000  4 Ba 3.29
Zr 0.0734 0.0734 0.0000  1 Zr 2.37
Zr 0.9266 0.9266 0.0000  1 Zr 2.37
Te 0.5000 0.5000 0.0000  8 Zr 3.49



Q | ## Ba2Zr2Te (PBE)

Data for a relaxed structure of Ba2Zr2Te.

Values from the calculation:
Mass density = 5.73 g/cm3
Density of states at the Fermi level = 1.3805 states/eV per atom

Cell lengths 7.6549, 7.6549, 5.7846 Å; angles 90.00, 90.00, 90.00 degrees
Closest atoms and distances in Å follow each position.
Fractional positions:
Ba 0.1689 0.3311 0.0000  6 Zr 3.56-3.74, 1 Ba 3.66
Ba 0.3311 0.8311 0.0000  6 Zr 3.56-3.74, 1 Ba 3.66
Ba 0.6689 0.1689 0.0000  6 Zr 3.56-3.74, 1 Ba 3.66
Ba 0.8311 0.6689 0.0000  6 Zr 3.56-3.74, 1 Ba 3.66
Zr 0.1393 0.6393 0.5000  2 Te 2.96, 1 Zr 3.02
Zr 0.3607 0.1393 0.5000  2 Te 2.96, 1 Zr 3.02
Zr 0.6393 0.8607 0.5000  2 Te 2.96, 1 Zr 3.02
Zr 0.8607 0.3607 0.5000  2 Te 2.96, 1 Zr 3.02
Te 0.0000 0.0000 0.5000  4 Zr 2.96
Te 0.5000 0.5000 0.5000  4 Zr 2.96



Stability summary: most stable Q, least stable P.



P | ## BaTm2Th (PBE)

Data for a relaxed structure of BaTm2Th.

Values from the calculation:
Mass density = 8.13 g/cm3
Density of states at the Fermi level = 1.2283 states/eV per atom

Cell lengths 3.6662, 3.6662, 10.7480 Å; angles 90.00, 90.00, 90.00 degrees
Closest atoms and distances in Å follow each position.
Fractional positions:
Ba 0.0000 0.0000 0.0000  4 Ba 3.67, 8 Tm 4.04
Tm 0.5000 0.5000 0.2888  4 Th 3.45, 4 Tm 3.67
Tm 0.5000 0.5000 0.7112  4 Th 3.45, 4 Tm 3.67
Th 0.0000 0.0000 0.5000  8 Tm 3.45, 4 Th 3.67



Q | ## BaTm2Th (PBE)

Data for a relaxed structure of BaTm2Th.

Values from the calculation:
Mass density = 8.25 g/cm3
Density of states at the Fermi level = 1.5320 states/eV per atom

Cell lengths 12.8459, 12.8459, 12.8459 Å; angles 16.12, 16.12, 16.12 degrees
Closest atoms and distances in Å follow each position.
Fractional positions:
Ba 0.0000 0.0000 0.0000  6 Ba 3.60, 2 Tm 3.61
Tm 0.0950 0.0950 0.0950  3 Th 3.43, 6 Tm 3.60, 1 Ba 3.61
Tm 0.9050 0.9050 0.9050  3 Th 3.43, 6 Tm 3.60, 1 Ba 3.61
Th 0.5000 0.5000 0.5000  6 Tm 3.43, 6 Th 3.60



Stability summary: most stable P, least stable Q.



P | ## BaTi (PBE)

Data for a relaxed structure of BaTi.

Values from the calculation:
Mass density = 3.98 g/cm3
Density of states at the Fermi level = 1.4410 states/eV per atom

Cell lengths 9.4907, 9.4907, 5.9450 Å; angles 90.00, 90.00, 120.00 degrees
Closest atoms and distances in Å follow each position.
Fractional positions:
Ba 0.1806 0.3612 0.2500  6 Ti 3.52-3.69
Ba 0.1806 0.8194 0.2500  6 Ti 3.52-3.69
Ba 0.3612 0.1806 0.7500  6 Ti 3.52-3.69
Ba 0.6388 0.8194 0.2500  6 Ti 3.52-3.69
Ba 0.8194 0.1806 0.7500  6 Ti 3.52-3.69
Ba 0.8194 0.6388 0.7500  6 Ti 3.52-3.69
Ti 0.1554 0.5777 0.7500  2 Ti 2.53
Ti 0.4223 0.5777 0.7500  2 Ti 2.53
Ti 0.4223 0.8446 0.7500  2 Ti 2.53
Ti 0.5777 0.1554 0.2500  2 Ti 2.53
Ti 0.5777 0.4223 0.2500  2 Ti 2.53
Ti 0.8446 0.4223 0.2500  2 Ti 2.53



Q | ## BaTi (PBE)

Data for a relaxed structure of BaTi.

Values from the calculation:
Mass density = 3.66 g/cm3
Density of states at the Fermi level = 1.3106 states/eV per atom

Cell lengths 7.0146, 7.0146, 6.8312 Å; angles 90.00, 90.00, 90.00 degrees
Closest atoms and distances in Å follow each position.
Fractional positions:
Ba 0.1752 0.1752 0.0000  4 Ti 3.39-3.48, 1 Ba 3.48
Ba 0.3248 0.6752 0.5000  4 Ti 3.39-3.48, 1 Ba 3.48
Ba 0.6752 0.3248 0.5000  4 Ti 3.39-3.48, 1 Ba 3.48
Ba 0.8248 0.8248 0.0000  4 Ti 3.39-3.48, 1 Ba 3.48
Ti 0.1065 0.1065 0.5000  1 Ti 2.11
Ti 0.3935 0.6065 0.0000  1 Ti 2.11
Ti 0.6065 0.3935 0.0000  1 Ti 2.11
Ti 0.8935 0.8935 0.5000  1 Ti 2.11



R | ## BaTi (PBE)

Data for a relaxed structure of BaTi.

Values from the calculation:
Mass density = 4.80 g/cm3
Density of states at the Fermi level = 1.4892 states/eV per atom

Cell lengths 5.9251, 3.5721, 3.5721 Å; angles 57.96, 90.00, 90.00 degrees
Closest atoms and distances in Å follow each position.
Fractional positions:
Ba 0.0000 0.0000 0.0000  6 Ba 3.46-3.57, 6 Ti 3.57-3.61
Ti 0.5000 0.3182 0.3182  6 Ti 3.46-3.57, 6 Ba 3.57-3.61



Stability summary: most stable P, least stable Q.